DFT (GGA-PBEsol) results for HgP2W after structural relaxation.

Formation energy from the elements   1.5 eV per formula unit

Cell lengths 6.704, 6.704, 6.704 Å; angles 129.02, 129.02, 74.98 degrees
Atoms (fractional coordinates):
Hg  0.000  0.000  0.000
Hg  0.750  0.250  0.500
P  0.165  0.625  0.040
P  0.375  0.415  0.540
P  0.585  0.125  0.960
P  0.875  0.835  0.460
W  0.250  0.750  0.500
W  0.500  0.500  0.000


DFT (GGA-PBEsol) results for ReSbW after structural relaxation.

Formation energy (no corrections)   0.575 eV/atom
Energy relative to the lowest polymorph listed for this composition   0.2124 eV/atom

Cell lengths 4.451, 4.451, 2.938 Å; angles 90.00, 90.00, 120.00 degrees
Atoms (fractional coordinates):
Re  0.000  0.000  0.000
Sb  0.667  0.333  0.000
W  0.333  0.667  0.500


DFT (GGA-PBEsol) results for NbNiSe2 after structural relaxation.

Formation energy (no corrections)   -0.145 eV/atom

Cell lengths 4.453, 4.453, 4.453 Å; angles 60.00, 60.00, 60.00 degrees
Atoms (fractional coordinates):
Nb  0.000  0.000  0.000
Ni  0.500  0.500  0.500
Se  0.250  0.250  0.250
Se  0.750  0.750  0.750


DFT (GGA-PBEsol) results for AlZnSi after structural relaxation.

Formation energy (no corrections)   0.155 eV/atom

Cell lengths 4.199, 4.199, 4.199 Å; angles 60.00, 60.00, 60.00 degrees
Atoms (fractional coordinates):
Al  0.000  0.000  0.000
Zn  0.500  0.500  0.500
Si  0.750  0.750  0.750


DFT (GGA-PBEsol) results for CaEu2WO6 after structural relaxation.

Formation energy (no corrections)   -2.703 eV/atom

Cell lengths 5.803, 5.803, 5.803 Å; angles 60.00, 60.00, 60.00 degrees
Atoms (fractional coordinates):
Ca  0.000  0.000  0.000
Eu  0.250  0.250  0.250
Eu  0.750  0.750  0.750
W  0.500  0.500  0.500
O  0.266  0.266  0.734
O  0.266  0.734  0.266
O  0.266  0.734  0.734
O  0.734  0.266  0.266
O  0.734  0.266  0.734
O  0.734  0.734  0.266


DFT (GGA-PBEsol) results for GaCuTcI2 after structural relaxation.

Formation energy (no corrections)   1.018 eV/atom
Energy relative to the lowest polymorph listed for this composition   0.0000 eV/atom

Cell lengths 5.291, 5.291, 4.819 Å; angles 90.00, 90.00, 90.00 degrees
Atoms (fractional coordinates):
Ga  0.000  0.000  0.000
Cu  0.500  0.500  0.500
Tc  0.500  0.500  0.000
I  0.000  0.500  0.500
I  0.500  0.000  0.500


DFT (GGA-PBEsol) results for SiPOs2 after structural relaxation.

Formation energy (no corrections)   -0.228 eV/atom
Energy relative to the lowest polymorph listed for this composition   0.0000 eV/atom

Cell lengths 2.875, 4.380, 4.145 Å; angles 90.00, 90.00, 90.00 degrees
Atoms (fractional coordinates):
Si  0.000  0.000  0.000
P  0.500  0.500  0.223
Os  0.000  0.500  0.736
Os  0.500  0.000  0.486


DFT (GGA-PBEsol) results for Mg3InBr after structural relaxation.

Formation energy (no corrections)   0.247 eV/atom

Cell lengths 5.210, 5.210, 5.210 Å; angles 90.00, 90.00, 90.00 degrees
Atoms (fractional coordinates):
Mg  0.000  0.000  0.500
Mg  0.000  0.500  0.000
Mg  0.500  0.000  0.000
In  0.500  0.500  0.500
Br  0.000  0.000  0.000


DFT (GGA-PBEsol) results for Sr2LiTl after structural relaxation.

Formation energy from the elements   -0.9 eV per formula unit
Energy relative to the lowest polymorph listed for this composition   0.0534 eV/atom

Cell lengths 6.883, 6.883, 6.883 Å; angles 146.89, 130.73, 60.65 degrees
Atoms (fractional coordinates):
Sr  0.000  0.000  0.000
Sr  0.705  0.205  0.500
Li  0.419  0.419  0.000
Tl  0.245  0.745  0.500


DFT (GGA-PBEsol) results for Li4TiS4 after structural relaxation.

Formation energy (no corrections)   -1.314 eV/atom
Energy relative to the lowest polymorph listed for this composition   0.0110 eV/atom

Cell lengths 6.698, 6.698, 6.698 Å; angles 128.43, 128.43, 75.93 degrees
Atoms (fractional coordinates):
Li  0.000  0.500  0.500
Li  0.216  0.216  0.000
Li  0.500  0.000  0.500
Li  0.784  0.784  0.000
Ti  0.500  0.500  0.000
S  0.155  0.600  0.000
S  0.400  0.400  0.556
S  0.600  0.155  0.000
S  0.845  0.845  0.444


DFT (GGA-PBEsol) results for LiCuAg2 after structural relaxation.

Formation energy from the elements   0.0 eV per formula unit

Cell lengths 3.107, 3.107, 5.969 Å; angles 90.00, 90.00, 90.00 degrees
Atoms (fractional coordinates):
Li  0.000  0.000  0.000
Cu  0.500  0.500  0.780
Ag  0.000  0.000  0.537
Ag  0.500  0.500  0.243


DFT (GGA-PBEsol) results for La3Mg after structural relaxation.

Formation energy from the elements   0.0 eV per formula unit

Cell lengths 7.189, 7.189, 5.624 Å; angles 90.00, 90.00, 120.00 degrees
Atoms (fractional coordinates):
La  0.175  0.350  0.250
La  0.175  0.825  0.250
La  0.350  0.175  0.750
La  0.650  0.825  0.250
La  0.825  0.175  0.750
La  0.825  0.650  0.750
Mg  0.333  0.667  0.750
Mg  0.667  0.333  0.250


DFT (GGA-PBEsol) results for Zn4As2O9 after structural relaxation.

Formation energy (no corrections)   -1.350 eV/atom

Cell lengths 9.760, 8.227, 10.495 Å; angles 90.00, 121.00, 90.00 degrees
Atoms (fractional coordinates):
Zn  0.014  0.194  0.004
Zn  0.014  0.306  0.504
Zn  0.293  0.745  0.956
Zn  0.293  0.755  0.456
Zn  0.348  0.181  0.525
Zn  0.348  0.319  0.025
Zn  0.400  0.021  0.846
Zn  0.400  0.479  0.346
Zn  0.600  0.521  0.654
Zn  0.600  0.979  0.154
Zn  0.652  0.681  0.975
Zn  0.652  0.819  0.475
Zn  0.707  0.245  0.544
Zn  0.707  0.255  0.044
Zn  0.986  0.694  0.496
Zn  0.986  0.806  0.996
As  0.001  0.017  0.285
As  0.001  0.483  0.785
As  0.338  0.506  0.733
As  0.338  0.994  0.233
As  0.662  0.006  0.767
As  0.662  0.494  0.267
As  0.999  0.517  0.215
As  0.999  0.983  0.715
O  0.026  0.001  0.136
O  0.026  0.499  0.636
O  0.055  0.660  0.885
O  0.055  0.840  0.385
O  0.107  0.173  0.406
O  0.107  0.327  0.906
O  0.194  0.573  0.286
O  0.194  0.927  0.786
O  0.256  0.667  0.614
O  0.256  0.833  0.114
O  0.276  0.182  0.153
O  0.276  0.318  0.653
O  0.324  0.525  0.889
O  0.324  0.975  0.389
O  0.455  0.017  0.694
O  0.455  0.483  0.194
O  0.495  0.173  0.009
O  0.495  0.327  0.509
O  0.505  0.673  0.491
O  0.505  0.827  0.991
O  0.545  0.517  0.806
O  0.545  0.983  0.306
O  0.676  0.025  0.611
O  0.676  0.475  0.111
O  0.724  0.682  0.347
O  0.724  0.818  0.847
O  0.744  0.167  0.886
O  0.744  0.333  0.386
O  0.806  0.073  0.214
O  0.806  0.427  0.714
O  0.893  0.673  0.094
O  0.893  0.827  0.594
O  0.945  0.160  0.615
O  0.945  0.340  0.115
O  0.974  0.501  0.364
O  0.974  0.999  0.864


DFT (GGA-PBEsol) results for MnPbW2 after structural relaxation.

Formation energy from the elements   3.8 eV per formula unit

Cell lengths 4.968, 4.968, 2.951 Å; angles 90.00, 90.00, 114.39 degrees
Atoms (fractional coordinates):
Mn  0.000  0.000  0.000
Pb  0.500  0.500  0.000
W  0.000  0.500  0.500
W  0.500  0.000  0.500


DFT (GGA-PBEsol) results for BeAg2As after structural relaxation.

Formation energy from the elements   0.8 eV per formula unit
Energy relative to the lowest polymorph listed for this composition   0.0173 eV/atom

Cell lengths 8.647, 8.647, 8.647 Å; angles 19.14, 19.14, 19.14 degrees
Atoms (fractional coordinates):
Be  0.000  0.000  0.000
Ag  0.261  0.261  0.261
Ag  0.739  0.739  0.739
As  0.500  0.500  0.500


DFT (GGA-PBEsol) results for Rb4MnAs2S8 after structural relaxation.

Formation energy (no corrections)   -0.695 eV/atom

Cell lengths 9.009, 9.168, 11.095 Å; angles 105.72, 104.47, 92.82 degrees
Atoms (fractional coordinates):
Rb  0.071  0.488  0.249
Rb  0.236  0.018  0.042
Rb  0.376  0.321  0.884
Rb  0.396  0.261  0.480
Rb  0.604  0.739  0.520
Rb  0.624  0.679  0.116
Rb  0.764  0.982  0.958
Rb  0.929  0.512  0.751
Mn  0.148  0.861  0.573
Mn  0.852  0.139  0.427
As  0.048  0.891  0.274
As  0.361  0.687  0.756
As  0.639  0.313  0.244
As  0.952  0.109  0.726
S  0.011  0.259  0.921
S  0.025  0.126  0.274
S  0.105  0.165  0.613
S  0.177  0.587  0.575
S  0.273  0.871  0.395
S  0.281  0.670  0.920
S  0.402  0.924  0.752
S  0.432  0.426  0.242
S  0.568  0.574  0.758
S  0.598  0.076  0.248
S  0.719  0.330  0.080
S  0.727  0.129  0.605
S  0.823  0.413  0.425
S  0.895  0.835  0.387
S  0.975  0.874  0.726
S  0.989  0.741  0.079


DFT (GGA-PBEsol) results for BaCdGaF7 after structural relaxation.

Formation energy (no corrections)   -2.920 eV/atom

Cell lengths 7.427, 7.427, 14.978 Å; angles 91.49, 91.49, 42.22 degrees
Atoms (fractional coordinates):
Ba  0.154  0.229  0.125
Ba  0.229  0.154  0.625
Ba  0.771  0.846  0.375
Ba  0.846  0.771  0.875
Cd  0.454  0.546  0.250
Cd  0.500  0.500  0.000
Cd  0.500  0.500  0.500
Cd  0.546  0.454  0.750
Ga  0.112  0.134  0.875
Ga  0.134  0.112  0.375
Ga  0.866  0.888  0.625
Ga  0.888  0.866  0.125
F  0.063  0.616  0.223
F  0.068  0.750  0.519
F  0.112  0.879  0.348
F  0.121  0.888  0.152
F  0.144  0.609  0.702
F  0.166  0.558  0.048
F  0.203  0.305  0.403
F  0.250  0.932  0.981
F  0.305  0.203  0.903
F  0.330  0.550  0.871
F  0.384  0.937  0.277
F  0.391  0.856  0.798
F  0.442  0.834  0.452
F  0.450  0.670  0.629
F  0.550  0.330  0.371
F  0.558  0.166  0.548
F  0.609  0.144  0.202
F  0.616  0.063  0.723
F  0.670  0.450  0.129
F  0.695  0.797  0.097
F  0.750  0.068  0.019
F  0.797  0.695  0.597
F  0.834  0.442  0.952
F  0.856  0.391  0.298
F  0.879  0.112  0.848
F  0.888  0.121  0.652
F  0.932  0.250  0.481
F  0.937  0.384  0.777


DFT (GGA-PBEsol) results for YBe2Mo after structural relaxation.

Formation energy from the elements   1.3 eV per formula unit
Energy relative to the lowest polymorph listed for this composition   0.0547 eV/atom

Cell lengths 4.559, 4.559, 2.806 Å; angles 90.00, 90.00, 98.44 degrees
Atoms (fractional coordinates):
Y  0.000  0.000  0.000
Be  0.000  0.500  0.500
Be  0.500  0.000  0.500
Mo  0.500  0.500  0.000


DFT (GGA-PBEsol) results for YMgRe2 after structural relaxation.

Formation energy from the elements   1.2 eV per formula unit

Cell lengths 2.927, 4.273, 6.048 Å; angles 90.00, 103.43, 90.00 degrees
Atoms (fractional coordinates):
Y  0.000  0.000  0.000
Mg  0.591  0.500  0.296
Re  0.049  0.000  0.546
Re  0.421  0.500  0.716


DFT (GGA-PBEsol) results for SrSi2Au after structural relaxation.

Formation energy (no corrections)   -0.275 eV/atom

Cell lengths 9.274, 9.274, 9.274 Å; angles 150.36, 150.36, 42.42 degrees
Atoms (fractional coordinates):
Sr  0.375  0.625  0.750
Sr  0.625  0.375  0.250
Si  0.000  0.000  0.000
Si  0.000  0.000  0.500
Si  0.000  0.500  0.000
Si  0.500  0.000  0.500
Au  0.125  0.875  0.250
Au  0.875  0.125  0.750


no.,theoretical density (g cm⁻³)
1,8.37
2,16.20
3,8.23
4,3.82
5,7.50
6,5.97
7,13.98
8,3.14
9,4.80
10,1.89
11,8.25
12,5.82
13,5.11
14,15.77
15,8.19
16,3.15
17,5.42
18,5.84
19,10.96
20,5.81